{"formula": "AgGeMo2O8", "functional": "GGA+U", "state": "optimized geometry", "lattice": [[5.775, 0.000, 0.000], [-2.887, 5.001, 0.000], [0.000, 0.000, 6.552]], "species": ["Ag", "Ge", "Mo", "Mo", "O", "O", "O", "O", "O", "O", "O", "O"], "frac_coords": [[0.000, 0.000, 0.000], [0.000, 0.000, 0.500], [0.333, 0.667, 0.771], [0.667, 0.333, 0.229], [0.157, 0.317, 0.685], [0.160, 0.843, 0.685], [0.317, 0.160, 0.315], [0.333, 0.667, 0.037], [0.667, 0.333, 0.963], [0.683, 0.840, 0.685], [0.840, 0.157, 0.315], [0.843, 0.683, 0.315]], "dft_energy_ev_per_atom": -6.342}